Run A
Sr2AcLa | PBE-GGA | relaxed

Cell: 14.402 14.402 14.402 Å, 15.52 15.52 15.52°
Element x y z (fractional)
Sr1 0.087 0.087 0.087
Sr2 0.913 0.913 0.913
Ac1 0.500 0.500 0.500
La1 0.000 0.000 0.000

* mass density: 4.8 g/cm³
* total moment: 0.14 μB/atom



Run B
Sr2AcLa | PBE-GGA | relaxed

Cell: 4.519 4.519 9.099 Å, 90.00 90.00 90.00°
Element x y z (fractional)
Sr1 0.000 0.000 0.241
Sr2 0.000 0.000 0.759
Ac1 0.500 0.500 0.500
La1 0.500 0.500 0.000

* mass density: 4.8 g/cm³
* total moment: 0.00 μB/atom



Run C
Sr2AcLa | PBE-GGA | relaxed

Cell: 6.408 6.408 6.408 Å, 60.00 60.00 60.00°
Element x y z (fractional)
Sr1 0.250 0.250 0.250
Sr2 0.750 0.750 0.750
Ac1 0.000 0.000 0.000
La1 0.500 0.500 0.500

* mass density: 4.8 g/cm³
* total moment: 0.00 μB/atom



The computed energies, referenced to the most stable structure and given in kJ/mol of atoms, are run A 5.8; run B 0.0; run C 0.6.



Run A
Ac2La2Tb | PBE-GGA | relaxed

Cell: 9.086 9.086 9.086 Å, 148.13 148.13 45.70°
Element x y z (fractional)
Ac1 0.250 0.750 0.500
Ac2 0.750 0.250 0.500
La1 0.090 0.090 0.000
La2 0.910 0.910 0.000
Tb1 0.500 0.500 0.000

* mass density: 7.1 g/cm³
* total moment: 0.00 μB/atom



Run B
Ac2La2Tb | PBE-GGA | relaxed

Cell: 6.885 6.885 6.885 Å, 125.67 125.67 80.42°
Element x y z (fractional)
Ac1 0.153 0.153 0.000
Ac2 0.847 0.847 0.000
La1 0.250 0.750 0.500
La2 0.750 0.250 0.500
Tb1 0.500 0.500 0.000

* mass density: 7.1 g/cm³
* total moment: 0.00 μB/atom



The computed energies, referenced to the most stable structure and given in kJ/mol of atoms, are run A 0.0; run B 12.2.



Run A
Ac4La5Tb | PBE-GGA | relaxed

Cell: 7.386 8.994 12.676 Å, 90.00 90.00 90.00°
Element x y z (fractional)
Ac1 0.000 0.250 0.032
Ac2 0.000 0.750 0.968
Ac3 0.250 0.008 0.499
Ac4 0.250 0.492 0.499
Ac5 0.500 0.250 0.032
Ac6 0.500 0.750 0.968
Ac7 0.750 0.508 0.501
Ac8 0.750 0.992 0.501
La1 0.001 0.069 0.770
La2 0.001 0.431 0.770
La3 0.250 0.750 0.712
La4 0.499 0.069 0.770
La5 0.499 0.431 0.770
La6 0.501 0.569 0.230
La7 0.501 0.931 0.230
La8 0.750 0.250 0.288
La9 0.999 0.569 0.230
La10 0.999 0.931 0.230
Tb1 0.250 0.250 0.279
Tb2 0.750 0.750 0.721

* mass density: 6.9 g/cm³
* total moment: 0.00 μB/atom



Run B
Ac4La5Tb | PBE-GGA | relaxed

Cell: 9.845 9.845 8.988 Å, 114.40 114.40 32.16°
Element x y z (fractional)
Ac1 0.027 0.027 0.275
Ac2 0.324 0.324 0.577
Ac3 0.676 0.676 0.423
Ac4 0.973 0.973 0.725
La1 0.162 0.162 0.705
La2 0.179 0.179 0.124
La3 0.500 0.500 0.000
La4 0.821 0.821 0.876
La5 0.838 0.838 0.295
Tb1 0.500 0.500 0.500

* mass density: 7.0 g/cm³
* total moment: 0.00 μB/atom



The computed energies, referenced to the most stable structure and given in kJ/mol of atoms, are run A 4.4; run B 0.0.



Run A
AcLa4Tb5 | PBE-GGA | relaxed

Cell: 3.737 3.737 25.235 Å, 90.00 90.00 90.00°
Element x y z (fractional)
Ac1 0.000 0.000 0.000
La1 0.000 0.000 0.203
La2 0.000 0.000 0.401
La3 0.000 0.000 0.599
La4 0.000 0.000 0.797
Tb1 0.500 0.500 0.105
Tb2 0.500 0.500 0.302
Tb3 0.500 0.500 0.500
Tb4 0.500 0.500 0.698
Tb5 0.500 0.500 0.895

* mass density: 7.4 g/cm³
* total moment: 0.00 μB/atom



Run B
AcLa4Tb5 | PBE-GGA | relaxed

Cell: 8.150 8.150 12.188 Å, 102.79 102.79 26.26°
Element x y z (fractional)
Ac1 0.000 0.000 0.000
La1 0.200 0.200 0.599
La2 0.399 0.399 0.203
La3 0.601 0.601 0.797
La4 0.800 0.800 0.401
Tb1 0.101 0.101 0.301
Tb2 0.298 0.298 0.899
Tb3 0.500 0.500 0.500
Tb4 0.702 0.702 0.101
Tb5 0.899 0.899 0.699

* mass density: 7.5 g/cm³
* total moment: 0.00 μB/atom



The computed energies, referenced to the most stable structure and given in kJ/mol of atoms, are run A 1.1; run B 0.0.



Run A
AcLa2Tb6 | PBE-GGA | relaxed

Cell: 6.244 6.244 18.056 Å, 90.00 90.00 90.00°
Element x y z (fractional)
Ac1 0.000 0.000 0.000
Ac2 0.500 0.500 0.500
La1 0.000 0.000 0.353
La2 0.000 0.000 0.647
La3 0.500 0.500 0.147
La4 0.500 0.500 0.853
Tb1 0.167 0.167 0.500
Tb2 0.178 0.178 0.188
Tb3 0.178 0.178 0.812
Tb4 0.322 0.678 0.312
Tb5 0.322 0.678 0.688
Tb6 0.333 0.667 0.000
Tb7 0.667 0.333 0.000
Tb8 0.678 0.322 0.312
Tb9 0.678 0.322 0.688
Tb10 0.822 0.822 0.188
Tb11 0.822 0.822 0.812
Tb12 0.833 0.833 0.500

* mass density: 6.9 g/cm³
* total moment: 0.00 μB/atom



Run B
AcLa2Tb6 | PBE-GGA | relaxed

Cell: 6.185 10.016 10.560 Å, 104.96 97.17 92.07°
Element x y z (fractional)
Ac1 0.000 0.000 0.000
Ac2 0.500 0.500 0.500
La1 0.052 0.645 0.760
La2 0.412 0.157 0.278
La3 0.588 0.843 0.722
La4 0.948 0.355 0.240
Tb1 0.025 0.329 0.892
Tb2 0.081 0.305 0.564
Tb3 0.105 0.004 0.666
Tb4 0.395 0.838 0.381
Tb5 0.463 0.514 0.159
Tb6 0.490 0.825 0.051
Tb7 0.510 0.175 0.949
Tb8 0.537 0.486 0.841
Tb9 0.605 0.162 0.619
Tb10 0.895 0.996 0.334
Tb11 0.919 0.695 0.436
Tb12 0.975 0.671 0.108

* mass density: 7.7 g/cm³
* total moment: 0.00 μB/atom



The computed energies, referenced to the most stable structure and given in kJ/mol of atoms, are run A 78.3; run B 0.0.



Run A
Ac6LaTb | PBE-GGA | relaxed

Cell: 5.525 5.525 11.065 Å, 90.00 90.00 90.00°
Element x y z (fractional)
Ac1 0.000 0.000 0.000
Ac2 0.000 0.000 0.500
Ac3 0.000 0.500 0.247
Ac4 0.000 0.500 0.753
Ac5 0.500 0.000 0.247
Ac6 0.500 0.000 0.753
La1 0.500 0.500 0.500
Tb1 0.500 0.500 0.000

* mass density: 8.2 g/cm³
* total moment: 0.00 μB/atom



Run B
Ac6LaTb | PBE-GGA | relaxed

Cell: 9.266 9.266 6.597 Å, 110.56 110.56 40.59°
Element x y z (fractional)
Ac1 0.122 0.122 0.084
Ac2 0.253 0.253 0.700
Ac3 0.377 0.377 0.331
Ac4 0.623 0.623 0.669
Ac5 0.747 0.747 0.300
Ac6 0.878 0.878 0.916
La1 0.000 0.000 0.500
Tb1 0.500 0.500 0.000

* mass density: 8.1 g/cm³
* total moment: 0.00 μB/atom



The computed energies, referenced to the most stable structure and given in kJ/mol of atoms, are run A 0.0; run B 7.7.



Run A
Ac8La2Tb | PBE-GGA | relaxed

Cell: 9.183 9.183 6.342 Å, 100.59 100.59 86.78°
Element x y z (fractional)
Ac1 0.084 0.084 0.293
Ac2 0.157 0.642 0.195
Ac3 0.232 0.232 0.885
Ac4 0.358 0.843 0.805
Ac5 0.642 0.157 0.195
Ac6 0.768 0.768 0.115
Ac7 0.843 0.358 0.805
Ac8 0.916 0.916 0.707
La1 0.368 0.368 0.490
La2 0.632 0.632 0.510
Tb1 0.500 0.500 0.000

* mass density: 7.2 g/cm³
* total moment: 0.00 μB/atom



Run B
Ac8La2Tb | PBE-GGA | relaxed

Cell: 10.279 10.279 10.279 Å, 145.56 128.43 63.49°
Element x y z (fractional)
Ac1 0.154 0.363 0.791
Ac2 0.162 0.162 0.000
Ac3 0.291 0.000 0.291
Ac4 0.427 0.637 0.791
Ac5 0.573 0.363 0.209
Ac6 0.709 0.000 0.709
Ac7 0.838 0.838 0.000
Ac8 0.846 0.637 0.209
La1 0.300 0.800 0.500
La2 0.700 0.200 0.500
Tb1 0.000 0.500 0.500

* mass density: 7.9 g/cm³
* total moment: 0.00 μB/atom



The computed energies, referenced to the most stable structure and given in kJ/mol of atoms, are run A 23.6; run B 0.0.



Run A
AcLaTb | PBE-GGA | relaxed

Cell: 8.291 8.291 8.291 Å, 153.42 153.42 37.94°
Element x y z (fractional)
Ac1 0.000 0.000 0.000
La1 0.324 0.324 0.000
Tb1 0.667 0.667 0.000

* mass density: 7.6 g/cm³
* total moment: 0.00 μB/atom



Run B
AcLaTb | PBE-GGA | relaxed

Cell: 5.911 5.911 3.719 Å, 90.00 90.00 120.00°
Element x y z (fractional)
Ac1 0.000 0.000 0.000
La1 0.333 0.667 0.500
Tb1 0.667 0.333 0.500

* mass density: 7.7 g/cm³
* total moment: 0.00 μB/atom



The computed energies, referenced to the most stable structure and given in kJ/mol of atoms, are run A 0.0; run B 1.0.